Entry from Alexandria via LeMat-Bulk: a geometry-optimized HoBiI structure (PBE).

a = 5.341 Å, b = 5.341 Å, c = 3.736 Å
α = 90.00°, β = 90.00°, γ = 120.00°
Element x y z (fractional)
Ho1 0.000 0.000 0.000
Bi1 0.667 0.333 0.500
I1 0.333 0.667 0.000

Output
Its energy relative to the lowest polymorph listed for this composition is 201.7 meV/atom. The calculation puts the uncorrected formation energy at -0.5353 eV per atom. The calculation puts the total energy at -11.61 eV for the cell shown. The calculation puts the total magnetic moment at 0.000 μB/atom. As for the symmetry: P-6m2.